The following is a DFT calculation (GGA+U) of crystalline Li4Fe2Co3Ni3O16 at its relaxed geometry.

abc: 5.782 5.782 9.401
angles: 88.59 88.59 58.94
Each line ends with the local moment (μB).
Positions (direct):
Li 0.660 0.660 0.108  0.01
Li 0.997 0.997 0.005  0.01
Li 0.006 0.006 0.501  0.01
Li 0.334 0.334 0.606  0.01
Fe 0.673 0.673 0.507  4.28
Fe 0.331 0.331 0.014  4.27
Co 0.336 0.829 0.787  1.09
Co 0.829 0.336 0.787  1.09
Co 0.170 0.170 0.287  1.04
Ni 0.829 0.829 0.786  1.18
Ni 0.169 0.662 0.286  1.08
Ni 0.662 0.169 0.286  1.08
O 0.334 0.851 0.398  0.09
O 0.519 0.519 0.671  0.05
O 0.658 0.658 0.892  -0.14
O 0.004 0.004 0.690  -0.13
O 0.006 0.006 0.194  -0.14
O 0.851 0.334 0.398  0.09
O 0.511 0.962 0.668  -0.03
O 0.962 0.511 0.668  -0.03
O 0.157 0.157 0.890  0.06
O 0.845 0.845 0.402  -0.03
O 0.030 0.471 0.160  0.10
O 0.471 0.030 0.160  0.10
O 0.330 0.330 0.388  -0.15
O 0.166 0.675 0.895  0.01
O 0.478 0.478 0.164  -0.05
O 0.675 0.166 0.895  0.01

Results
VASP energy: -5.48 eV/atom
symmetry: Cm, No. 8
size of the total moment: 15.00 μB/cell